(1)
Tb2Pm6HoMg | the Alexandria database | PBE | optimized geometry; formation energy from the elements = 1.2 eV/f.u.; total energy = -4.277 eV per atom
1.0
4.627 -7.511 0.000
4.627 7.511 0.000
-1.222 0.000 9.460
Tb Pm Ho Mg
4 12 2 2
Cartesian
1.747 0.754 4.256 Tb
1.136 -0.754 8.986 Tb
6.896 0.754 0.474 Tb
6.285 -0.754 5.204 Tb
0.826 1.556 1.060 Pm
7.206 -1.556 8.400 Pm
1.785 3.262 6.569 Pm
0.215 -1.556 5.790 Pm
4.054 2.718 0.485 Pm
4.589 2.718 4.245 Pm
5.637 3.262 7.622 Pm
2.396 -3.262 1.838 Pm
3.443 -2.718 5.216 Pm
3.978 -2.718 8.975 Pm
7.817 1.556 3.670 Pm
6.247 -3.262 2.892 Pm
3.711 0.323 7.095 Ho
4.322 -0.323 2.365 Ho
4.322 6.168 2.365 Mg
3.711 -6.168 7.095 Mg


(2)
Tb6Pm2Ho3Mg | the Alexandria database | PBE | optimized geometry; formation energy from the elements = 0.2 eV/f.u.; total energy = -4.365 eV per atom
1.0
3.065 -5.313 0.000
3.065 5.313 0.000
-2.056 0.000 11.558
Tb Pm Ho Mg
6 2 3 1
Cartesian
-0.017 1.762 8.687 Tb
1.014 0.000 2.859 Tb
-0.017 -1.762 8.687 Tb
4.091 1.762 2.871 Tb
3.060 0.000 8.699 Tb
4.091 -1.762 2.871 Tb
2.037 1.770 5.779 Pm
2.037 -1.770 5.779 Pm
3.065 3.552 0.000 Ho
3.065 0.000 0.000 Ho
3.065 -3.552 0.000 Ho
-1.028 0.000 5.779 Mg


(3)
Tb2Pm2Ho4Mg | the Alexandria database | PBE | optimized geometry; formation energy from the elements = 1.2 eV/f.u.; total energy = -4.161 eV per atom
1.0
6.597 0.000 0.000
3.120 6.146 0.000
2.177 -0.775 7.210
Tb Pm Ho Mg
2 2 4 1
Cartesian
1.056 0.566 2.023 Tb
10.838 4.805 5.186 Tb
5.612 1.498 4.915 Pm
6.281 3.873 2.295 Pm
2.865 3.869 0.743 Ho
7.539 4.533 6.138 Ho
4.355 0.838 1.072 Ho
9.029 1.502 6.467 Ho
2.648 2.686 3.605 Mg


(4)
TbPm2Ho2Mg5 | the Alexandria database | PBE | optimized geometry; formation energy from the elements = 0.4 eV/f.u.; total energy = -3.086 eV per atom
1.0
10.613 0.000 0.000
0.000 10.613 0.000
0.000 0.000 5.083
Tb Pm Ho Mg
2 4 4 10
Cartesian
0.000 0.000 0.000 Tb
5.307 5.307 0.000 Tb
1.881 3.426 0.000 Pm
3.426 8.733 0.000 Pm
7.187 1.881 0.000 Pm
8.733 7.187 0.000 Pm
1.270 6.577 0.000 Ho
4.037 1.270 0.000 Ho
6.577 9.343 0.000 Ho
9.343 4.037 0.000 Ho
0.000 5.307 2.541 Mg
0.740 8.510 2.541 Mg
2.104 0.740 2.541 Mg
3.203 6.046 2.541 Mg
4.567 3.203 2.541 Mg
5.307 0.000 2.541 Mg
6.046 7.411 2.541 Mg
7.411 4.567 2.541 Mg
8.510 9.874 2.541 Mg
9.874 2.104 2.541 Mg


no.,N(E_F) (states/eV/atom)
1,1.33
2,1.35
3,1.21
4,0.67